Entry 1:
Compound: BaTl6Bi6
Source: Alexandria via LeMat-Bulk
Functional: PBE-GGA
Structure: optimized geometry

Unit cell a=6.6023 b=11.5088 c=11.9544 alpha=90.00 beta=90.00 gamma=90.00
Last column: nearest neighbours and their distance in Å.
Space group Immm (No. 71)
Asymmetric unit:
Ba1 0.0000 0.0000 0.0000 (multiplicity 2)  8 Tl 4.04-4.29, 12 Bi 4.20-4.46
Tl1 0.0000 0.0000 0.3592 (multiplicity 4)  1 Tl 3.37, 6 Bi 3.56-3.71
Tl2 0.0000 0.2973 0.5000 (multiplicity 4)  6 Bi 3.46-3.49, 4 Tl 3.73-3.81
Tl3 0.0000 0.3533 0.0000 (multiplicity 4)  3 Tl 3.38-3.73, 4 Bi 3.62
Bi1 0.0000 0.5000 0.2833 (multiplicity 4)  4 Bi 3.34, 4 Tl 3.49-3.71
Bi2 0.2500 0.2500 0.2500 (multiplicity 8)  4 Bi 3.30-3.34, 6 Tl 3.46-3.62

Values from the calculation:
ΔH_f (0 K)	-0.12	eV/atom

=====

Entry 2:
Compound: BaTl7Bi2
Source: Alexandria via LeMat-Bulk
Functional: PBE-GGA
Structure: optimized geometry

Unit cell a=9.0937 b=18.1815 c=4.7851 alpha=90.00 beta=90.00 gamma=90.00
Last column: nearest neighbours and their distance in Å.
Space group Cmmm (No. 65)
Asymmetric unit:
Ba1 0.0000 0.0000 0.0000 (multiplicity 2)  10 Tl 3.59-3.68
Tl1 0.0000 0.1973 0.0000 (multiplicity 4)  2 Bi 3.07, 4 Tl 3.38
Tl2 0.0000 0.5000 0.5000 (multiplicity 2)  4 Tl 3.41, 2 Bi 3.59
Tl3 0.2043 0.1151 0.5000 (multiplicity 8)  1 Bi 3.08, 3 Tl 3.38-3.41
Bi1 0.0000 0.3028 0.5000 (multiplicity 4)  4 Tl 3.07-3.08

Values from the calculation:
ΔH_f (0 K)	0.03	eV/atom

=====

Entry 3:
Compound: BaTlBi
Source: Alexandria via LeMat-Bulk
Functional: PBE-GGA
Structure: optimized geometry

Unit cell a=5.0938 b=5.0938 c=5.2613 alpha=90.00 beta=90.00 gamma=120.00
Last column: nearest neighbours and their distance in Å.
Space group P3m1 (No. 156)
Asymmetric unit:
Ba1 0.0000 0.0000 0.0000 (multiplicity 1)  3 Tl 3.53, 3 Bi 3.57
Tl1 0.3333 0.6667 0.3709 (multiplicity 1)  3 Bi 3.21, 3 Ba 3.53
Bi1 0.6667 0.3333 0.6157 (multiplicity 1)  3 Tl 3.21, 3 Ba 3.57

Values from the calculation:
energy relative to the lowest polymorph listed for this composition	0.0	meV/atom
ΔH_f (0 K)	-0.59	eV/atom

=====

Entry 4:
Compound: Ba2Tl4Bi3
Source: Alexandria via LeMat-Bulk
Functional: PBE-GGA
Structure: optimized geometry

Unit cell a=7.0267 b=17.8487 c=10.4596 alpha=90.00 beta=90.00 gamma=90.00
Last column: nearest neighbours and their distance in Å.
Space group Cmce (No. 64)
Asymmetric unit:
Ba1 0.0000 0.1189 0.0598 (multiplicity 8)  7 Tl 3.67-4.00, 2 Bi 3.79
Tl1 0.0000 0.1806 0.4834 (multiplicity 8)  5 Bi 3.23-3.41
Tl2 0.2500 0.0486 0.7500 (multiplicity 8)  3 Bi 3.23-3.27, 2 Tl 3.51
Bi1 0.0000 0.0000 0.5000 (multiplicity 4)  6 Tl 3.23-3.27
Bi2 0.2500 0.2296 0.7500 (multiplicity 8)  5 Tl 3.23-3.41, 2 Bi 3.51

Values from the calculation:
ΔH_f (0 K)	-0.34	eV/atom

=====

Entry 5:
Compound: Ba6Tl5Bi
Source: Alexandria via LeMat-Bulk
Functional: PBE-GGA
Structure: optimized geometry

Unit cell a=6.1265 b=18.6733 c=8.4201 alpha=90.00 beta=90.00 gamma=90.00
Last column: nearest neighbours and their distance in Å.
Space group Cmmm (No. 65)
Asymmetric unit:
Ba1 0.0000 0.0000 0.2430 (multiplicity 4)  2 Bi 3.68, 6 Tl 3.75-3.98, 1 Ba 4.09
Ba2 0.0000 0.3366 0.2524 (multiplicity 8)  7 Tl 3.58-3.78, 1 Bi 3.72
Tl1 0.0000 0.1679 0.5000 (multiplicity 4)  8 Ba 3.71-3.81
Tl2 0.0000 0.1825 0.0000 (multiplicity 4)  8 Ba 3.58-3.98, 2 Tl 3.97
Tl3 0.0000 0.5000 0.5000 (multiplicity 2)  8 Ba 3.70-3.75
Bi1 0.0000 0.5000 0.0000 (multiplicity 2)  8 Ba 3.68-3.72

Values from the calculation:
ΔH_f (0 K)	-0.49	eV/atom

=====

Entry 6:
Compound: Ba2Tl3Bi
Source: Alexandria via LeMat-Bulk
Functional: PBE-GGA
Structure: optimized geometry

Unit cell a=13.0187 b=5.0938 c=8.4636 alpha=90.00 beta=127.31 gamma=90.00
Last column: nearest neighbours and their distance in Å.
Space group Cm (No. 8)
Asymmetric unit:
Ba1 0.0000 0.0000 0.0000 (multiplicity 2)  7 Tl 3.57-3.95, 2 Bi 3.66
Ba2 0.1031 0.0000 0.6021 (multiplicity 2)  6 Tl 3.66-4.00, 3 Bi 3.69-3.80
Tl1 0.2101 0.5000 0.3621 (multiplicity 2)  2 Bi 3.26, 1 Tl 3.26, 2 Ba 3.63
Tl2 0.2205 0.5000 0.9867 (multiplicity 2)  3 Tl 3.10-3.26, 1 Bi 3.43
Tl3 0.3797 0.0000 0.2131 (multiplicity 2)  2 Tl 3.10, 1 Bi 3.33
Bi1 0.3936 0.0000 0.6197 (multiplicity 2)  4 Tl 3.26-3.43

Values from the calculation:
energy relative to the lowest polymorph listed for this composition	0.0	meV/atom
ΔH_f (0 K)	-0.46	eV/atom

=====

Entry 7:
Compound: Ba8Tl2Bi
Source: Alexandria via LeMat-Bulk
Functional: PBE-GGA
Structure: optimized geometry

Unit cell a=21.6917 b=6.0488 c=8.5624 alpha=90.00 beta=108.93 gamma=90.00
Last column: nearest neighbours and their distance in Å.
Space group C2/m (No. 12)
Asymmetric unit:
Ba1 0.0291 0.0000 0.2835 (multiplicity 4)  1 Tl 3.61, 2 Bi 3.71
Ba2 0.0973 0.5000 0.9421 (multiplicity 4)  1 Bi 3.69, 2 Tl 3.84, 2 Ba 4.12
Ba3 0.1672 0.5000 0.4593 (multiplicity 4)  3 Tl 3.61-3.83, 1 Bi 3.76
Ba4 0.2039 0.0000 0.8110 (multiplicity 4)  3 Tl 3.51-3.93
Tl1 0.1820 0.0000 0.2001 (multiplicity 4)  9 Ba 3.51-3.93
Bi1 0.0000 0.5000 0.5000 (multiplicity 2)  8 Ba 3.69-3.76

Values from the calculation:
ΔH_f (0 K)	-0.35	eV/atom

=====

Entry 8:
Compound: BaTl2Bi2
Source: Alexandria via LeMat-Bulk
Functional: PBE-GGA
Structure: optimized geometry

Unit cell a=4.8444 b=32.3105 c=4.7182 alpha=90.00 beta=90.00 gamma=90.00
Last column: nearest neighbours and their distance in Å.
Space group Cmcm (No. 63)
Asymmetric unit:
Ba1 0.0000 0.1587 0.2500 (multiplicity 4)  8 Bi 3.62-3.87
Tl1 0.0000 0.0470 0.7500 (multiplicity 4)  2 Bi 3.35, 4 Tl 3.38
Tl2 0.0000 0.4530 0.7500 (multiplicity 4)  2 Bi 3.31, 4 Tl 3.38
Bi1 0.0000 0.2536 0.7500 (multiplicity 4)  4 Bi 3.39, 2 Ba 3.73
Bi2 0.0000 0.3812 0.2500 (multiplicity 4)  4 Tl 3.31-3.35, 4 Ba 3.62

Values from the calculation:
energy relative to the lowest polymorph listed for this composition	39.2	meV/atom
ΔH_f (0 K)	-0.34	eV/atom

=====

Entry 9:
Compound: BaTl3Bi2
Source: Alexandria via LeMat-Bulk
Functional: PBE-GGA
Structure: optimized geometry

Unit cell a=17.7597 b=5.2571 c=10.6896 alpha=90.00 beta=116.17 gamma=90.00
Last column: nearest neighbours and their distance in Å.
Space group C2/m (No. 12)
Asymmetric unit:
Ba1 0.1424 0.0000 0.0707 (multiplicity 4)  7 Bi 3.51-3.84
Tl1 0.0230 0.0000 0.3524 (multiplicity 4)  3 Bi 3.33-3.57, 5 Tl 3.59-3.66
Tl2 0.1093 0.5000 0.6121 (multiplicity 4)  2 Bi 3.25, 4 Tl 3.49-3.63
Tl3 0.2141 0.5000 0.4028 (multiplicity 4)  2 Bi 3.11-3.32, 2 Tl 3.24
Bi1 0.0172 0.5000 0.1567 (multiplicity 4)  1 Bi 3.13, 3 Tl 3.32-3.33
Bi2 0.2005 0.0000 0.7962 (multiplicity 4)  3 Tl 3.11-3.25

Values from the calculation:
ΔH_f (0 K)	-0.29	eV/atom

=====

Entry 10:
Compound: BaTlBi
Source: Alexandria via LeMat-Bulk
Functional: PBE-GGA
Structure: optimized geometry

Unit cell a=5.0656 b=5.0656 c=18.2254 alpha=90.00 beta=90.00 gamma=90.00
Last column: nearest neighbours and their distance in Å.
Space group I4/mmm (No. 139)
Asymmetric unit:
Ba1 0.0000 0.0000 0.1623 (multiplicity 4)  5 Bi 3.61-3.65, 4 Tl 3.89
Tl1 0.0000 0.5000 0.0000 (multiplicity 4)  4 Bi 3.56, 4 Tl 3.58, 4 Ba 3.89
Bi1 0.0000 0.0000 0.3626 (multiplicity 4)  4 Tl 3.56, 5 Ba 3.61-3.65

Values from the calculation:
energy relative to the lowest polymorph listed for this composition	35.3	meV/atom
ΔH_f (0 K)	-0.56	eV/atom

=====

Entry 11:
Compound: Ba2Tl5Bi4
Source: Alexandria via LeMat-Bulk
Functional: PBE-GGA
Structure: optimized geometry

Unit cell a=6.7647 b=12.4584 c=20.6334 alpha=90.00 beta=90.00 gamma=90.00
Last column: nearest neighbours and their distance in Å.
Space group Fmmm (No. 69)
Asymmetric unit:
Ba1 0.0000 0.0000 0.1673 (multiplicity 8)  4 Bi 3.77, 4 Tl 3.93
Tl1 0.0000 0.0000 0.5000 (multiplicity 4)  4 Bi 3.30, 4 Tl 3.54
Tl2 0.2500 0.2500 0.0000 (multiplicity 8)  4 Tl 3.38-3.54, 4 Bi 3.69
Tl3 0.2500 0.2500 0.2500 (multiplicity 8)  4 Bi 3.21, 2 Tl 3.38
Bi1 0.0000 0.1265 0.3594 (multiplicity 16)  1 Bi 3.15, 3 Tl 3.21-3.30

Values from the calculation:
ΔH_f (0 K)	-0.24	eV/atom

=====

Entry 12:
Compound: BaTl6Bi4
Source: Alexandria via LeMat-Bulk
Functional: PBE-GGA
Structure: optimized geometry

Unit cell a=9.6073 b=9.6073 c=4.8768 alpha=90.00 beta=90.00 gamma=120.00
Last column: nearest neighbours and their distance in Å.
Space group P-6m2 (No. 187)
Asymmetric unit:
Ba1 0.0000 0.0000 0.0000 (multiplicity 1)  6 Bi 3.92, 6 Tl 4.11
Tl1 0.1991 0.3982 0.5000 (multiplicity 3)  4 Bi 3.20-3.31
Tl2 0.5379 0.0758 0.0000 (multiplicity 3)  5 Bi 3.37-3.40, 2 Tl 3.71
Bi1 0.3333 0.6667 0.0000 (multiplicity 1)  9 Tl 3.31-3.40
Bi2 0.3687 0.1843 0.5000 (multiplicity 3)  6 Tl 3.20-3.37

Values from the calculation:
ΔH_f (0 K)	-0.11	eV/atom